[1]
# meta-GGA SCAN YCd2Sb, PBEsol geometry
# Total moment (μB per formula unit): 0.00
# Formation energy from raw total energies (eV/atom): -0.141
data_YCd2Sb
_space_group_name_H-M_alt 'R 3 m'
_space_group_IT_number 160
_space_group_name_Hall 'R 3 -2"'
_cell_length_a 3.3960
_cell_length_b 3.3960
_cell_length_c 29.7637
_cell_angle_alpha 90.00
_cell_angle_beta 90.00
_cell_angle_gamma 120.00
loop_
_atom_site_label
_atom_site_type_symbol
_atom_site_fract_x
_atom_site_fract_y
_atom_site_fract_z
Y1 Y 0.0000 0.0000 0.0000
Cd1 Cd 0.0000 0.0000 0.2475
Cd2 Cd 0.0000 0.0000 0.5042
Sb1 Sb 0.0000 0.0000 0.7511


[2]
# meta-GGA SCAN LiMg2SiAg, PBEsol geometry
# Total moment (μB per formula unit): 0.00
# Formation energy from raw total energies (eV/atom): 0.408
data_LiMg2SiAg
_space_group_name_H-M_alt 'P 4/m m m'
_space_group_IT_number 123
_space_group_name_Hall '-P 4 2'
_cell_length_a 4.977
_cell_length_b 4.977
_cell_length_c 4.565
_cell_angle_alpha 90.00
_cell_angle_beta 90.00
_cell_angle_gamma 90.00
loop_
_atom_site_label
_atom_site_type_symbol
_atom_site_fract_x
_atom_site_fract_y
_atom_site_fract_z
Li1 Li 0.000 0.000 0.000
Mg1 Mg 0.000 0.500 0.500
Si1 Si 0.500 0.500 0.000
Ag1 Ag 0.000 0.000 0.500


[3]
# meta-GGA SCAN BeFeW2, PBEsol geometry
# Total moment (μB per formula unit): 0.00
# Formation energy from the elements (eV per formula unit): 0.9
data_BeFeW2
_space_group_name_H-M_alt 'P 1 2/m 1'
_space_group_IT_number 10
_cell_length_a 2.678
_cell_length_b 3.560
_cell_length_c 5.259
_cell_angle_alpha 90.00
_cell_angle_beta 93.30
_cell_angle_gamma 90.00
loop_
_space_group_symop_operation_xyz
'x,y,z'
'-x,-y,-z'
'-x,y,-z'
'x,-y,z'
loop_
_atom_site_label
_atom_site_type_symbol
_atom_site_fract_x
_atom_site_fract_y
_atom_site_fract_z
Be1 Be 0.000 0.000 0.000
Fe1 Fe 0.000 0.000 0.500
W1 W 0.482 0.500 0.248